*A*
NaCa3Re: optimized geometry, PBE.

Output
theoretical density = 3.501 Mg/m³

a b c (Å): 5.386 5.386 5.386
angles (deg): 90.00 90.00 90.00
Space group Pm-3m (No. 221)
Unique sites:
Na (0.000, 0.000, 0.000) [1 per cell]
Ca (0.000, 0.000, 0.500) [3 per cell]
Re (0.500, 0.500, 0.500) [1 per cell]

*B*
NaCa3Re: optimized geometry, PBE.

Output
theoretical density = 3.061 Mg/m³

a b c (Å): 5.633 5.633 5.633
angles (deg): 90.00 90.00 90.00
Space group Pm-3m (No. 221)
Unique sites:
Na (0.000, 0.000, 0.000) [1 per cell]
Ca (0.000, 0.500, 0.500) [3 per cell]
Re (0.500, 0.500, 0.500) [1 per cell]

Which one is most stable, and which one is least stable? *B* is the most stable of them, while *A* is the least stable.

*A*
NaCa2Re: optimized geometry, PBE.

Output
theoretical density = 2.458 Mg/m³

a b c (Å): 8.196 8.196 11.639
angles (deg): 90.00 90.00 90.00
Space group I-42d (No. 122)
Unique sites:
Na (0.000, 0.000, 0.000) [4 per cell]
Ca (0.001, 0.250, 0.625) [8 per cell]
Re (0.000, 0.000, 0.500) [4 per cell]

*B*
NaCa2Re: optimized geometry, PBE.

Output
theoretical density = 4.644 Mg/m³

a b c (Å): 7.452 7.452 7.452
angles (deg): 90.00 90.00 90.00
Space group Fm-3m (No. 225)
Unique sites:
Na (0.000, 0.000, 0.000) [4 per cell]
Ca (0.250, 0.250, 0.250) [8 per cell]
Re (0.000, 0.000, 0.500) [4 per cell]

Which one is most stable, and which one is least stable? *B* is the most stable of them, while *A* is the least stable.